Record 1
## CaMnP2 (PBE-GGA)

Data for an optimized crystal structure of CaMnP2.

Lattice parameters (Å, degrees): 3.8524 3.8524 9.6741 90.00 90.00 90.00
Sites, in units of the cell vectors:
Ca (0.0000, 0.0000, 0.0000)
Ca (0.5000, 0.5000, 0.5000)
Mn (0.0000, 0.5000, 0.7500)
Mn (0.5000, 0.0000, 0.2500)
P (0.0000, 0.0000, 0.5000)
P (0.0000, 0.5000, 0.2500)
P (0.5000, 0.0000, 0.7500)
P (0.5000, 0.5000, 0.0000)

Summary:
Total energy (eV per atom): -5.67
Energy above the most stable polymorph in this dataset (meV per atom): 586
Formation enthalpy at 0 K (eV per atom): -0.170
DOS(E_F) (states/eV/f.u.): 1.62

=====

Record 2
## HgPt2Cl (PBE-GGA)

Data for an optimized crystal structure of HgPt2Cl.

Lattice parameters (Å, degrees): 2.9971 3.9491 6.1482 90.00 90.00 90.00
Sites, in units of the cell vectors:
Hg (0.0000, 0.0000, 0.0000)
Pt (0.5000, 0.5000, 0.2362)
Pt (0.5000, 0.5000, 0.7638)
Cl (0.0000, 0.0000, 0.5000)

Summary:
Total energy (eV per atom): -3.12
Energy above the most stable polymorph in this dataset (meV per atom): 325
Formation energy from raw total energies (eV/f.u.): 1.734
DOS(E_F) (states/eV/f.u.): 4.94

=====

Record 3
## BeBi3Pd (PBE-GGA)

Data for an optimized crystal structure of BeBi3Pd.

Lattice parameters (Å, degrees): 5.0261 5.0261 5.0261 90.00 90.00 90.00
Sites, in units of the cell vectors:
Be (0.0000, 0.0000, 0.0000)
Bi (0.0000, 0.0000, 0.5000)
Bi (0.0000, 0.5000, 0.0000)
Bi (0.5000, 0.0000, 0.0000)
Pd (0.5000, 0.5000, 0.5000)

Summary:
Total energy (eV per atom): -3.58
Energy above the most stable polymorph in this dataset (meV per atom): 0
Formation enthalpy at 0 K (eV per atom): 0.530
DOS(E_F) (states/eV/f.u.): 3.11

=====

Record 4
## Hf2MgH4 (PBE-GGA)

Data for an optimized crystal structure of Hf2MgH4.

Lattice parameters (Å, degrees): 3.5301 3.5301 11.8468 90.00 90.00 90.00
Sites, in units of the cell vectors:
Hf (0.0000, 0.0000, 0.1754)
Hf (0.0000, 0.0000, 0.8246)
Hf (0.5000, 0.5000, 0.3246)
Hf (0.5000, 0.5000, 0.6754)
Mg (0.0000, 0.0000, 0.5000)
Mg (0.5000, 0.5000, 0.0000)
H (0.0000, 0.0000, 0.3396)
H (0.0000, 0.0000, 0.6604)
H (0.0000, 0.5000, 0.0000)
H (0.0000, 0.5000, 0.5000)
H (0.5000, 0.0000, 0.0000)
H (0.5000, 0.0000, 0.5000)
H (0.5000, 0.5000, 0.1604)
H (0.5000, 0.5000, 0.8396)

Summary:
Total energy (eV per atom): -4.86
Energy above the most stable polymorph in this dataset (meV per atom): 313
DOS(E_F) (states/eV/f.u.): 4.84

=====

Record 5
## Ta2TlRe (PBE-GGA)

Data for an optimized crystal structure of Ta2TlRe.

Lattice parameters (Å, degrees): 5.8165 7.8174 3.1832 90.00 90.00 90.00
Sites, in units of the cell vectors:
Ta (0.2500, 0.2500, 0.0000)
Ta (0.2500, 0.7500, 0.0000)
Ta (0.7500, 0.2500, 0.0000)
Ta (0.7500, 0.7500, 0.0000)
Tl (0.0000, 0.0000, 0.5000)
Tl (0.5000, 0.5000, 0.5000)
Re (0.0000, 0.5000, 0.5000)
Re (0.5000, 0.0000, 0.5000)

Summary:
Total energy (eV per atom): -9.26
Energy above the most stable polymorph in this dataset (meV per atom): 165
Formation enthalpy at 0 K (eV per atom): 0.371
DOS(E_F) (states/eV/f.u.): 1.72

=====

Record 6
## Th4OsCl5 (PBE-GGA)

Data for an optimized crystal structure of Th4OsCl5.

Lattice parameters (Å, degrees): 9.0589 9.0589 8.8566 99.33 99.33 24.49
Sites, in units of the cell vectors:
Th (0.0024, 0.0024, 0.2213)
Th (0.3299, 0.3299, 0.9494)
Th (0.6701, 0.6701, 0.0506)
Th (0.9976, 0.9976, 0.7787)
Os (0.5000, 0.5000, 0.0000)
Cl (0.1639, 0.1639, 0.7892)
Cl (0.1665, 0.1665, 0.3041)
Cl (0.5000, 0.5000, 0.5000)
Cl (0.8335, 0.8335, 0.6959)
Cl (0.8361, 0.8361, 0.2108)

Summary:
Total energy (eV per atom): -6.44
Formation energy from raw total energies (eV/f.u.): -14.233
DOS(E_F) (states/eV/f.u.): 6.17